The following is a DFT calculation (PBE) of a relaxed SrZn2RhPb crystal.

Crystal system   tetragonal
Density of states at the Fermi level   3.63 states/eV per cell
Formation energy from the elements   -5.05 kcal/mol of atoms

Structure (POSCAR):
```
SrZn2RhPb
1.0
4.914 0.000 0.000
0.000 4.914 0.000
0.000 0.000 5.229
Sr Zn Rh Pb
1 2 1 1
direct
0.000 0.000 0.000
0.000 0.500 0.500
0.500 0.000 0.500
0.500 0.500 0.500
0.500 0.500 0.000
```

---

The following is a DFT calculation (PBE) of a relaxed TaRhPb2 crystal.

Crystal system   tetragonal
Density of states at the Fermi level   8.11 states/eV per cell
Formation energy from the elements   15.51 kcal/mol of atoms
E above lowest polymorph   0.6746 eV per atom

Structure (POSCAR):
```
TaRhPb2
1.0
-2.136 2.136 9.917
2.136 -2.136 9.917
2.136 2.136 -9.917
Ta Rh Pb
2 2 4
direct
0.000 0.000 0.000
0.750 0.250 0.500
0.250 0.750 0.500
0.500 0.500 0.000
0.130 0.625 0.005
0.375 0.380 0.505
0.620 0.125 0.995
0.875 0.870 0.495
```

---

The following is a DFT calculation (PBE) of a relaxed Ta3RhPb crystal.

Crystal system   cubic
Density of states at the Fermi level   4.35 states/eV per cell
Formation energy from the elements   22.48 kcal/mol of atoms
E above lowest polymorph   0.0000 eV per atom

Structure (POSCAR):
```
Ta3RhPb
1.0
4.852 0.000 0.000
0.000 4.852 0.000
0.000 0.000 4.852
Ta Rh Pb
3 1 1
direct
0.000 0.000 0.500
0.000 0.500 0.000
0.500 0.000 0.000
0.000 0.000 0.000
0.500 0.500 0.500
```

---

What did the first record say?
The following is a DFT calculation (PBE) of a relaxed SrZn2RhPb crystal.

Crystal system   tetragonal
Density of states at the Fermi level   3.63 states/eV per cell
Formation energy from the elements   -5.05 kcal/mol of atoms

Structure (POSCAR):
```
SrZn2RhPb
1.0
4.914 0.000 0.000
0.000 4.914 0.000
0.000 0.000 5.229
Sr Zn Rh Pb
1 2 1 1
direct
0.000 0.000 0.000
0.000 0.500 0.500
0.500 0.000 0.500
0.500 0.500 0.500
0.500 0.500 0.000
```